The following is a PBE with a Hubbard U calculation of a relaxed Mg2Nb2CoO8 crystal, from the Alexandria database.

a = 10.0159 Å, b = 10.0159 Å, c = 5.1940 Å
α = 89.48°, β = 89.48°, γ = 35.02°
Last column: nearest neighbours and their distance in Å.
Element x y z (fractional)
1 Mg 0.1298 0.4122 0.2529  5 O 2.00-2.23
2 Co 0.3529 0.6471 0.2500  6 O 2.08-2.15
3 O 0.9169 0.7081 0.0413  2 Mg 2.04-2.23, 1 Nb 2.06
4 O 0.5667 0.3178 0.4143  1 Nb 1.85
5 Nb 0.0544 0.7155 0.7560  4 O 1.85-2.06
6 O 0.5460 0.8353 0.8853  1 Nb 1.97, 3 Mg 2.00-2.12
7 O 0.3178 0.5667 0.9143  1 Nb 1.85
8 O 0.4333 0.6822 0.5857  1 Nb 1.85
9 O 0.8172 0.0420 0.9168  2 Nb 1.98-2.08, 1 Co 2.15
10 O 0.7081 0.9169 0.5413  2 Mg 2.04-2.23, 1 Nb 2.06
11 O 0.8353 0.5460 0.3853  1 Nb 1.97, 3 Mg 2.00-2.12
12 Mg 0.8702 0.5878 0.7471  5 O 2.00-2.23
13 Nb 0.2845 0.9456 0.7440  4 O 1.85-2.06
14 O 0.1647 0.4540 0.6147  1 Nb 1.97, 3 Mg 2.00-2.12
15 Mg 0.5878 0.8702 0.2471  5 O 2.00-2.23
16 O 0.9580 0.1828 0.5832  2 Nb 1.98-2.08, 1 Co 2.15
17 O 0.0420 0.8172 0.4168  2 Nb 1.98-2.08, 1 Co 2.15
18 O 0.0831 0.2919 0.9587  2 Mg 2.04-2.23, 1 Nb 2.06
19 Nb 0.9456 0.2845 0.2440  4 O 1.85-2.06
20 Nb 0.7155 0.0544 0.2560  4 O 1.85-2.06
21 O 0.2919 0.0831 0.4587  2 Mg 2.04-2.23, 1 Nb 2.06
22 O 0.6822 0.4333 0.0857  1 Nb 1.85
23 Co 0.6471 0.3529 0.7500  6 O 2.08-2.15
24 O 0.1828 0.9580 0.0832  2 Nb 1.98-2.08, 1 Co 2.15
25 O 0.4540 0.1647 0.1147  1 Nb 1.97, 3 Mg 2.00-2.12
26 Mg 0.4122 0.1298 0.7529  5 O 2.00-2.23

Results
space-group type	C2/c, No. 15
ρ	4.7	g/cm3
E_tot	-7.6357	eV/atom